A plane-wave DFT calculation with PBE was carried out for crystalline NaTaMn3 at its relaxed geometry.

Computed properties:
formation enthalpy at 0 K: 113 kJ per mole of atoms
electronic total energy: -6.965 eV per atom
space-group type: Pm-3m (221)
total magnetization: 9.17 Bohr magnetons per cell
distance to the lowest polymorph of the same formula: 0 meV/atom

abc: 4.8556 4.8556 4.8556
angles: 90.00 90.00 90.00
Each line ends with the local moment (μB).
Fractional positions:
Mn (0.0000, 0.0000, 0.5000)  3.07
Mn (0.0000, 0.5000, 0.0000)  3.31
Mn (0.5000, 0.0000, 0.0000)  3.57
Ta (0.0000, 0.0000, 0.0000)  -1.06
Na (0.5000, 0.5000, 0.5000)  -0.01